Record 1
Compound: ThGaSn2
Source: the Alexandria database
Functional: PBE
Structure: relaxed

```
ThGaSn2
1.0
4.832 0.000 0.000
0.000 4.566 0.000
0.000 0.000 4.566
Th Sn Ga
1 2 1
direct
0.500 0.500 0.500
0.000 0.000 0.500
0.000 0.500 0.000
0.500 0.000 0.000
```

## Properties
The calculation puts the density of states at the Fermi level at 2.13 states/eV per cell. As for the energy of formation from the pure elements: -463 meV/atom. The energy relative to the lowest polymorph listed for this composition comes out at 0 meV per atom.

---

Record 2
Compound: YMgCl2
Source: the Alexandria database
Functional: PBE
Structure: relaxed

```
YMgCl2
1.0
-1.362 5.056 2.930
-3.654 -2.605 -3.673
-2.358 -2.045 1.779
Cl Mg Y
2 1 1
direct
0.000 0.000 0.000
0.500 0.000 0.500
0.000 0.500 0.500
0.500 0.500 0.000
```

## Properties
The calculation puts the formation energy without anion corrections at -4.23 eV per formula unit. The calculation puts the density of states at the Fermi level at 1.86 states/eV per cell. The energy relative to the lowest polymorph listed for this composition comes out at 199 meV per atom.

---

Record 3
Compound: MnFeCoAu2
Source: the Alexandria database
Functional: PBE
Structure: relaxed

```
MnFeCoAu2
1.0
4.819 0.000 0.000
0.000 4.093 0.000
0.000 0.000 4.819
Fe Au Co Mn
1 2 1 1
direct
0.500 0.500 0.500
0.000 0.000 0.500
0.500 0.000 0.000
0.000 0.500 0.000
0.000 0.000 0.000
```

## Properties
The calculation puts the density of states at the Fermi level at 7.38 states/eV per cell. As for the energy of formation from the pure elements: 1217 meV/atom.

---

Record 4
Compound: Li3AsPt
Source: the Alexandria database
Functional: PBE
Structure: relaxed

```
Li3AsPt
1.0
-1.903 4.142 0.711
-3.658 -1.247 -2.521
-2.071 -1.603 3.798
As Pt Li
1 1 3
direct
0.500 0.500 0.500
0.000 0.000 0.000
0.000 0.500 0.000
0.500 0.000 0.000
0.000 0.000 0.500
```

## Properties
The calculation puts the density of states at the Fermi level at 3.92 states/eV per cell. As for the energy of formation from the pure elements: 41 meV/atom. The energy relative to the lowest polymorph listed for this composition comes out at 482 meV per atom.

---

Record 5
Compound: HgPt2Rh
Source: the Alexandria database
Functional: PBE
Structure: relaxed

```
HgPt2Rh
1.0
-1.408 2.446 4.854
1.408 -2.446 4.854
1.408 2.446 -4.854
Hg Pt Rh
1 2 1
direct
0.748 0.248 0.500
0.253 0.753 0.500
0.009 0.009 0.000
0.490 0.490 0.000
```

## Properties
The calculation puts the density of states at the Fermi level at 4.90 states/eV per cell. As for the energy of formation from the pure elements: 138 meV/atom.

---

Record 6
Compound: BaBe2Co
Source: the Alexandria database
Functional: PBE
Structure: relaxed

```
BaBe2Co
1.0
-2.163 -3.438 2.428
-4.554 -0.980 -0.833
-1.195 -4.035 -2.165
Be Co Ba
2 1 1
direct
0.750 0.750 0.750
0.250 0.250 0.250
0.000 0.000 0.000
0.500 0.500 0.500
```

## Properties
The calculation puts the density of states at the Fermi level at 3.85 states/eV per cell. As for the energy of formation from the pure elements: 1077 meV/atom. The energy relative to the lowest polymorph listed for this composition comes out at 948 meV per atom.

---

Record 7
Compound: HoZnCdRh
Source: the Alexandria database
Functional: PBE
Structure: relaxed

```
HoZnCdRh
1.0
4.760 0.000 0.000
2.380 4.122 0.000
2.380 1.374 3.886
Ho Zn Cd Rh
1 1 1 1
direct
0.250 0.250 0.250
0.000 0.000 0.000
0.750 0.750 0.750
0.500 0.500 0.500
```

## Properties
The calculation puts the density of states at the Fermi level at 2.55 states/eV per cell. As for the energy of formation from the pure elements: -378 meV/atom.

---

Record 8
Compound: ScTlRe2O8
Source: the Alexandria database
Functional: PBE
Structure: relaxed

```
ScTlRe2O8
1.0
-2.874 1.826 4.818
-1.290 -5.234 -2.398
5.267 -3.314 4.397
O Re Sc Tl
8 2 1 1
direct
0.335 0.168 0.339
0.168 0.833 0.661
0.665 0.832 0.661
0.832 0.167 0.339
0.667 0.333 0.026
0.333 0.667 0.974
0.833 0.665 0.339
0.167 0.335 0.661
0.333 0.667 0.742
0.667 0.333 0.258
0.000 0.000 0.500
0.000 0.000 0.000
```

## Properties
The calculation puts the formation energy without anion corrections at -21.77 eV per formula unit. The calculation puts the density of states at the Fermi level at 7.42 states/eV per cell.

---

Record 9
Compound: BaLi2Pr
Source: the Alexandria database
Functional: PBE
Structure: relaxed

```
BaLi2Pr
1.0
5.821 0.000 0.000
2.910 5.041 0.000
2.910 1.680 4.753
Ba Li Pr
1 2 1
direct
0.500 0.500 0.500
0.750 0.750 0.750
0.250 0.250 0.250
0.000 0.000 0.000
```

## Properties
The calculation puts the density of states at the Fermi level at 6.55 states/eV per cell. As for the energy of formation from the pure elements: 195 meV/atom. The energy relative to the lowest polymorph listed for this composition comes out at 51 meV per atom.

---

Record 10
Compound: KLa2Cd
Source: the Alexandria database
Functional: PBE
Structure: relaxed

```
KLa2Cd
1.0
-1.263 4.834 -4.308
-4.484 -1.497 -4.602
0.291 -0.454 6.575
K Cd La
1 1 2
direct
0.750 0.250 0.500
0.500 0.500 0.000
0.000 0.000 0.000
0.250 0.750 0.500
```

## Properties
The calculation puts the density of states at the Fermi level at 6.70 states/eV per cell. As for the energy of formation from the pure elements: 255 meV/atom.

---

Record 11
Compound: Dy2Pd3Au3
Source: the Alexandria database
Functional: PBE
Structure: relaxed

```
Dy2Pd3Au3
1.0
5.380 0.131 -0.137
0.137 5.380 -0.137
-0.131 -0.131 5.380
Pd Au Dy
3 3 2
direct
0.500 0.262 0.262
0.738 0.500 0.738
0.262 0.738 0.500
0.000 0.240 0.240
0.240 0.760 0.000
0.760 0.000 0.760
0.255 0.255 0.745
0.745 0.745 0.255
```

## Properties
The calculation puts the density of states at the Fermi level at 2.78 states/eV per cell. As for the energy of formation from the pure elements: -735 meV/atom. The energy relative to the lowest polymorph listed for this composition comes out at 0 meV per atom.

---

Record 12
Compound: Ta2PCl
Source: the Alexandria database
Functional: PBE
Structure: relaxed

```
Ta2PCl
1.0
3.046 -0.012 0.000
-1.216 2.793 0.000
0.000 0.000 8.084
P Cl Ta
1 1 2
direct
0.500 0.500 0.750
0.500 0.500 0.250
0.000 0.000 0.969
0.000 0.000 0.531
```

## Properties
The calculation puts the formation energy without anion corrections at 0.11 eV per formula unit. The calculation puts the density of states at the Fermi level at 2.62 states/eV per cell. The energy relative to the lowest polymorph listed for this composition comes out at 348 meV per atom.

---

Record 13
Compound: LiAcErRu
Source: the Alexandria database
Functional: PBE
Structure: relaxed

```
LiAcErRu
1.0
5.111 0.000 0.000
2.556 4.426 0.000
2.556 1.475 4.173
Ac Li Er Ru
1 1 1 1
direct
0.000 0.000 0.000
0.250 0.250 0.250
0.500 0.500 0.500
0.750 0.750 0.750
```

## Properties
The calculation puts the density of states at the Fermi level at 2.73 states/eV per cell. As for the energy of formation from the pure elements: -122 meV/atom.

---

Record 14
Compound: Ti2Zn3O7
Source: the Alexandria database
Functional: PBE
Structure: relaxed

```
Ti2Zn3O7
1.0
-6.048 2.998 -6.680
2.339 -6.718 6.291
-2.882 2.483 3.723
Ti Zn O
4 6 14
direct
0.352 0.145 0.226
0.648 0.855 0.726
0.145 0.352 0.226
0.855 0.648 0.726
0.021 0.419 0.703
0.979 0.581 0.203
0.254 0.254 0.761
0.746 0.746 0.261
0.581 0.979 0.203
0.419 0.021 0.703
0.712 0.454 0.431
0.371 0.371 0.208
0.857 0.014 0.072
0.056 0.648 0.824
0.546 0.288 0.931
0.944 0.352 0.324
0.986 0.143 0.572
0.288 0.546 0.931
0.352 0.944 0.324
0.648 0.056 0.824
0.014 0.857 0.072
0.143 0.986 0.572
0.629 0.629 0.708
0.454 0.712 0.431
```

## Properties
The calculation puts the formation energy without anion corrections at -25.80 eV per formula unit. The calculation puts the density of states at the Fermi level at 0.00 states/eV per cell.

---

Record 15
Compound: SrTl3Cd
Source: the Alexandria database
Functional: PBE
Structure: relaxed

```
SrTl3Cd
1.0
5.675 0.000 0.000
0.000 5.675 0.000
0.000 0.000 5.675
Tl Sr Cd
3 1 1
direct
0.500 0.000 0.000
0.000 0.000 0.500
0.000 0.500 0.000
0.500 0.500 0.500
0.000 0.000 0.000
```

## Properties
The calculation puts the density of states at the Fermi level at 2.29 states/eV per cell. As for the energy of formation from the pure elements: 65 meV/atom. The energy relative to the lowest polymorph listed for this composition comes out at 233 meV per atom.

---

Record 16
Compound: LaAsHIr
Source: the Alexandria database
Functional: PBE
Structure: relaxed

```
LaAsHIr
1.0
4.125 0.000 0.000
-2.063 3.573 0.000
0.000 0.000 10.057
H As La Ir
2 2 2 2
direct
0.000 0.000 0.160
0.000 0.000 0.660
0.667 0.333 0.426
0.333 0.667 0.926
0.333 0.667 0.237
0.667 0.333 0.737
0.000 0.000 0.990
0.000 0.000 0.490
```

## Properties
The calculation puts the density of states at the Fermi level at 6.76 states/eV per cell. As for the uncorrected energy: -24.6 eV/f.u.

---

Record 17
Compound: Fe2Pt2Pb
Source: the Alexandria database
Functional: PBE
Structure: relaxed

```
Fe2Pt2Pb
1.0
-2.106 -2.641 5.705
5.909 1.221 2.747
-1.164 3.234 1.067
Fe Pt Pb
4 4 2
direct
0.621 0.121 0.000
0.121 0.379 0.000
0.379 0.879 0.000
0.879 0.621 0.000
0.844 0.344 0.500
0.156 0.656 0.500
0.344 0.156 0.500
0.656 0.844 0.500
0.000 0.000 0.000
0.500 0.500 0.000
```

## Properties
The calculation puts the density of states at the Fermi level at 14.61 states/eV per cell. As for the energy of formation from the pure elements: 366 meV/atom. The energy relative to the lowest polymorph listed for this composition comes out at 331 meV per atom.